[1]
A relaxed structure of BeRu2Rh, computed with PBE.

## Properties
DFT total energy: -88.1 eV for the cell shown
formation enthalpy at 0 K: 0.07 eV/atom

a = 2.6871 Å, b = 2.6871 Å, c = 24.7368 Å
α = 90.00°, β = 90.00°, γ = 120.00°
Space group R-3m (No. 166, hexagonal axes)
Symmetry-distinct sites (fractional):
Be 0.0000 0.0000 0.0000 (multiplicity 3)
Ru 0.0000 0.0000 0.2564 (multiplicity 6)
Rh 0.0000 0.0000 0.5000 (multiplicity 3)


[2]
A relaxed structure of Ho2Tm5Sb5, computed with PBE.

## Properties
DFT total energy: -123.0 eV for the cell shown
ΔE_f (raw): -0.7802 eV/atom

a = 14.043 Å, b = 4.303 Å, c = 12.412 Å
α = 90.00°, β = 109.69°, γ = 90.00°
Space group C2/m (No. 12)
Symmetry-distinct sites (fractional):
Ho 0.045 0.000 0.284 (multiplicity 4)
Tm 0.000 0.500 0.000 (multiplicity 2)
Tm 0.160 0.500 0.534 (multiplicity 4)
Tm 0.217 0.500 0.840 (multiplicity 4)
Sb 0.000 0.000 0.500 (multiplicity 2)
Sb 0.121 0.000 0.937 (multiplicity 4)
Sb 0.199 0.500 0.291 (multiplicity 4)


Q: What is the DFT total energy in the second record?
A: -123.0 eV for the cell shown


Q: Which of these has the lowest DFT total energy?
A: Ho2Tm5Sb5


Q: Look up the DFT total energy of the second one.
A: -123.0 eV for the cell shown